The following is a DFT calculation (PBE with a Hubbard U) of crystalline Cs2WBr6O at its relaxed geometry.

a = 7.5300 Å, b = 7.5300 Å, c = 11.4694 Å
α = 90.00°, β = 90.00°, γ = 90.00°
Space group I4/mmm (No. 139)
Inequivalent atoms, fractional coordinates:
Cs1 0.0000 0.5000 0.2500 (multiplicity 4)
W1 0.0000 0.0000 0.0000 (multiplicity 2)
Br1 0.0000 0.0000 0.2236 (multiplicity 4)
Br2 0.2401 0.2401 0.0000 (multiplicity 8)
O1 0.0000 0.0000 0.5000 (multiplicity 2)

energy: -2.961 eV/atom